AlTl2Cl2F4: relaxed, GGA-PBE.

Computed properties:
Uncorrected formation energy   -2.049 eV/atom

a b c (Å): 6.204 6.204 6.204
angles (deg): 88.61 120.81 120.81
Atoms (fractional coordinates):
F1 0.589 0.795 0.795
F2 0.000 0.205 0.795
F3 0.000 0.795 0.205
F4 0.411 0.205 0.205
Cl1 0.000 0.276 0.276
Cl2 0.000 0.724 0.724
Al1 0.000 0.000 0.000
Tl1 0.500 0.750 0.250
Tl2 0.500 0.250 0.750